{
  "formula": "SmHg2F8",
  "functional": "PBE",
  "state": "optimized geometry",
  "e_form_raw_kj_per_mol_fu": -2304,
  "dft_energy_ev_per_atom": -4.02,
  "cell": [[7.1696, 0.0000, 0.0000], [-3.5848, 6.2091, 0.0000], [0.0000, 0.0000, 4.4315]],
  "species": ["Sm", "Hg", "Hg", "F", "F", "F", "F", "F", "F", "F", "F"],
  "fractional_positions": [[0.0000, 0.0000, 0.0000], [0.3333, 0.6667, 0.7344], [0.6667, 0.3333, 0.2656], [0.1546, 0.3120, 0.7404], [0.1574, 0.8454, 0.7404], [0.3120, 0.1574, 0.2596], [0.3333, 0.6667, 0.2352], [0.6667, 0.3333, 0.7648], [0.6880, 0.8426, 0.7404], [0.8426, 0.1546, 0.2596], [0.8454, 0.6880, 0.2596]]
}

***

{
  "formula": "Sm2HgF",
  "functional": "PBE",
  "state": "optimized geometry",
  "e_form_raw_kj_per_mol_fu": -420,
  "dft_energy_ev_per_atom": -3.99,
  "polymorph_energy_ev_per_atom": 0.224,
  "cell": [[3.3569, 0.0000, 0.0000], [0.0000, 3.3569, 0.0000], [0.0000, 0.0000, 7.9867]],
  "species": ["Sm", "Sm", "Hg", "F"],
  "fractional_positions": [[0.0000, 0.0000, 0.2331], [0.0000, 0.0000, 0.7669], [0.5000, 0.5000, 0.5000], [0.5000, 0.5000, 0.0000]]
}

***

{
  "formula": "SmHgF5",
  "functional": "PBE",
  "state": "optimized geometry",
  "e_form_raw_kj_per_mol_fu": -1964,
  "dft_energy_ev_per_atom": -4.96,
  "cell": [[4.7983, -3.8064, 0.0000], [4.7983, 3.8064, 0.0000], [-3.0552, 0.0000, 7.2602]],
  "species": ["Sm", "Sm", "Hg", "Hg", "F", "F", "F", "F", "F", "F", "F", "F", "F", "F"],
  "fractional_positions": [[0.0445, 0.9555, 0.7500], [0.9555, 0.0445, 0.2500], [0.5000, 0.5000, 0.0000], [0.5000, 0.5000, 0.5000], [0.1596, 0.8270, 0.0366], [0.1730, 0.8404, 0.4634], [0.2222, 0.2818, 0.3670], [0.2818, 0.2222, 0.8670], [0.3463, 0.6537, 0.7500], [0.6537, 0.3463, 0.2500], [0.7183, 0.7778, 0.1330], [0.7778, 0.7183, 0.6330], [0.8270, 0.1596, 0.5366], [0.8404, 0.1730, 0.9634]]
}

***

{
  "formula": "SmTlHgF6",
  "functional": "PBE",
  "state": "optimized geometry",
  "e_form_raw_kj_per_mol_fu": -2297,
  "dft_energy_ev_per_atom": -4.71,
  "cell": [[6.3404, 0.0000, 0.0000], [-3.1702, 5.4910, 0.0000], [0.0000, 0.0000, 10.8483]],
  "species": ["Sm", "Sm", "Tl", "Tl", "Hg", "Hg", "F", "F", "F", "F", "F", "F", "F", "F", "F", "F", "F", "F"],
  "fractional_positions": [[0.3333, 0.6667, 0.2500], [0.6667, 0.3333, 0.7500], [0.0000, 0.0000, 0.0000], [0.0000, 0.0000, 0.5000], [0.3333, 0.6667, 0.7500], [0.6667, 0.3333, 0.2500], [0.0102, 0.3789, 0.1423], [0.0102, 0.6313, 0.3577], [0.3687, 0.3789, 0.3577], [0.3687, 0.9898, 0.1423], [0.3789, 0.0102, 0.6423], [0.3789, 0.3687, 0.8577], [0.6211, 0.6313, 0.1423], [0.6211, 0.9898, 0.3577], [0.6313, 0.0102, 0.8577], [0.6313, 0.6211, 0.6423], [0.9898, 0.3687, 0.6423], [0.9898, 0.6211, 0.8577]]
}

***

{
  "formula": "SnHgF",
  "functional": "PBE",
  "state": "optimized geometry",
  "e_form_raw_kj_per_mol_fu": -271,
  "dft_energy_ev_per_atom": -3.00,
  "polymorph_energy_ev_per_atom": 0.027,
  "cell": [[-2.1303, 2.1303, 4.9062], [2.1303, -2.1303, 4.9062], [2.1303, 2.1303, -4.9062]],
  "species": ["Sn", "Hg", "F"],
  "fractional_positions": [[0.0000, 0.0000, 0.0000], [0.5141, 0.5141, 0.0000], [0.7919, 0.7919, 0.0000]]
}

***

{
  "formula": "SnHgF2",
  "functional": "PBE",
  "state": "optimized geometry",
  "e_form_raw_kj_per_mol_fu": -594,
  "dft_energy_ev_per_atom": -3.55,
  "polymorph_energy_ev_per_atom": 0.026,
  "cell": [[-3.2712, 3.2712, 6.0322], [3.2712, -3.2712, 6.0322], [3.2712, 3.2712, -6.0322]],
  "species": ["Sn", "Sn", "Hg", "Hg", "F", "F", "F", "F"],
  "fractional_positions": [[0.0000, 0.0000, 0.0000], [0.7500, 0.2500, 0.5000], [0.2500, 0.7500, 0.5000], [0.5000, 0.5000, 0.0000], [0.3750, 0.1841, 0.3091], [0.8159, 0.1250, 0.1909], [0.8750, 0.0659, 0.6909], [0.9341, 0.6250, 0.8091]]
}

***

{
  "formula": "Sn6HgF12",
  "functional": "PBE",
  "state": "optimized geometry",
  "e_form_raw_kj_per_mol_fu": -3853,
  "dft_energy_ev_per_atom": -4.56,
  "cell": [[5.7999, 3.3486, 3.3121], [-5.7999, 3.3486, 3.3121], [0.0000, -6.6971, 3.3121]],
  "species": ["Sn", "Sn", "Sn", "Sn", "Sn", "Sn", "Hg", "F", "F", "F", "F", "F", "F", "F", "F", "F", "F", "F", "F"],
  "fractional_positions": [[0.2102, 0.2102, 0.5827], [0.2102, 0.5827, 0.2102], [0.4173, 0.7898, 0.7898], [0.5827, 0.2102, 0.2102], [0.7898, 0.4173, 0.7898], [0.7898, 0.7898, 0.4173], [0.0000, 0.0000, 0.0000], [0.1103, 0.5000, 0.8897], [0.1103, 0.8897, 0.5000], [0.1382, 0.3839, 0.3839], [0.3839, 0.1382, 0.3839], [0.3839, 0.3839, 0.1382], [0.5000, 0.1103, 0.8897], [0.5000, 0.8897, 0.1103], [0.6161, 0.6161, 0.8618], [0.6161, 0.8618, 0.6161], [0.8618, 0.6161, 0.6161], [0.8897, 0.1103, 0.5000], [0.8897, 0.5000, 0.1103]]
}

***

{
  "formula": "SnHg2F6",
  "functional": "PBE",
  "state": "optimized geometry",
  "e_form_raw_kj_per_mol_fu": -1659,
  "dft_energy_ev_per_atom": -3.67,
  "polymorph_energy_ev_per_atom": 0.000,
  "cell": [[6.3292, 0.0000, 0.0000], [0.0000, 6.3292, 0.0000], [0.0000, 0.0000, 9.6212]],
  "species": ["Sn", "Sn", "Hg", "Hg", "Hg", "Hg", "F", "F", "F", "F", "F", "F", "F", "F", "F", "F", "F", "F"],
  "fractional_positions": [[0.0000, 0.0000, 0.0000], [0.5000, 0.5000, 0.5000], [0.0000, 0.0000, 0.3650], [0.0000, 0.0000, 0.6350], [0.5000, 0.5000, 0.1350], [0.5000, 0.5000, 0.8650], [0.1522, 0.1522, 0.1577], [0.1522, 0.1522, 0.8423], [0.2197, 0.7803, 0.0000], [0.2803, 0.2803, 0.5000], [0.3478, 0.6522, 0.3423], [0.3478, 0.6522, 0.6577], [0.6522, 0.3478, 0.3423], [0.6522, 0.3478, 0.6577], [0.7197, 0.7197, 0.5000], [0.7803, 0.2197, 0.0000], [0.8478, 0.8478, 0.1577], [0.8478, 0.8478, 0.8423]]
}

***

{
  "formula": "SnHgF",
  "functional": "PBE",
  "state": "optimized geometry",
  "e_form_raw_kj_per_mol_fu": -279,
  "dft_energy_ev_per_atom": -3.02,
  "polymorph_energy_ev_per_atom": 0.000,
  "cell": [[3.2547, 0.0000, 0.0000], [-1.5904, 6.0817, 0.0000], [-1.4808, -1.3592, 7.1207]],
  "species": ["Sn", "Sn", "Hg", "Hg", "F", "F"],
  "fractional_positions": [[0.1343, 0.0571, 0.2599], [0.8657, 0.9429, 0.7401], [0.2105, 0.5805, 0.3225], [0.7895, 0.4195, 0.6775], [0.2591, 0.1880, 0.0011], [0.7409, 0.8120, 0.9989]]
}

***

{
  "formula": "SnHg2F4",
  "functional": "PBE",
  "state": "optimized geometry",
  "e_form_raw_kj_per_mol_fu": -1168,
  "dft_energy_ev_per_atom": -3.46,
  "cell": [[-2.1187, 2.1187, 9.6321], [2.1187, -2.1187, 9.6321], [2.1187, 2.1187, -9.6321]],
  "species": ["Sn", "Hg", "Hg", "F", "F", "F", "F"],
  "fractional_positions": [[0.0000, 0.0000, 0.0000], [0.2460, 0.2460, 0.0000], [0.7540, 0.7540, 0.0000], [0.0000, 0.5000, 0.5000], [0.1027, 0.1027, 0.0000], [0.5000, 0.0000, 0.5000], [0.8973, 0.8973, 0.0000]]
}

***

{
  "formula": "SnHg2F5",
  "functional": "PBE",
  "state": "optimized geometry",
  "e_form_raw_kj_per_mol_fu": -1392,
  "dft_energy_ev_per_atom": -3.55,
  "cell": [[5.2677, 0.0000, 0.0000], [2.6278, 5.3612, 0.0000], [1.8065, -0.0034, 5.9629]],
  "species": ["Sn", "Hg", "Hg", "F", "F", "F", "F", "F"],
  "fractional_positions": [[0.0000, 0.0000, 0.0000], [0.3370, 0.4294, 0.5403], [0.7660, 0.5716, 0.5406], [0.2342, 0.0002, 0.6847], [0.3028, 0.6758, 0.0505], [0.6882, 0.9994, 0.8909], [0.7690, 0.9998, 0.3172], [0.9779, 0.3247, 0.0509]]
}

***

{
  "formula": "Sn5Hg3F12",
  "functional": "PBE",
  "state": "optimized geometry",
  "e_form_raw_kj_per_mol_fu": -3475,
  "dft_energy_ev_per_atom": -3.97,
  "cell": [[-7.7729, 7.7729, 7.7729], [7.7729, -7.7729, 7.7729], [7.7729, 7.7729, -7.7729]],
  "species": ["Sn", "Sn", "Sn", "Sn", "Sn", "Sn", "Sn", "Sn", "Sn", "Sn", "Sn", "Sn", "Sn", "Sn", "Sn", "Sn", "Sn", "Sn", "Sn", "Sn", "Hg", "Hg", "Hg", "Hg", "Hg", "Hg", "Hg", "Hg", "Hg", "Hg", "Hg", "Hg", "F", "F", "F", "F", "F", "F", "F", "F", "F", "F", "F", "F", "F", "F", "F", "F", "F", "F", "F", "F", "F", "F", "F", "F", "F", "F", "F", "F", "F", "F", "F", "F", "F", "F", "F", "F", "F", "F", "F", "F", "F", "F", "F", "F", "F", "F", "F", "F"],
  "fractional_positions": [[0.0000, 0.0000, 0.0000], [0.0000, 0.0000, 0.5000], [0.0000, 0.5000, 0.0000], [0.0000, 0.5000, 0.5000], [0.1250, 0.7500, 0.8750], [0.1250, 0.8750, 0.2500], [0.2500, 0.1250, 0.8750], [0.2500, 0.6250, 0.3750], [0.3750, 0.2500, 0.6250], [0.3750, 0.6250, 0.7500], [0.5000, 0.0000, 0.0000], [0.5000, 0.0000, 0.5000], [0.5000, 0.5000, 0.0000], [0.5000, 0.5000, 0.5000], [0.6250, 0.3750, 0.2500], [0.6250, 0.7500, 0.3750], [0.7500, 0.3750, 0.6250], [0.7500, 0.8750, 0.1250], [0.8750, 0.1250, 0.7500], [0.8750, 0.2500, 0.1250], [0.1250, 0.2500, 0.3750], [0.1250, 0.3750, 0.7500], [0.2500, 0.3750, 0.1250], [0.2500, 0.8750, 0.6250], [0.3750, 0.1250, 0.2500], [0.3750, 0.7500, 0.1250], [0.6250, 0.2500, 0.8750], [0.6250, 0.8750, 0.7500], [0.7500, 0.1250, 0.3750], [0.7500, 0.6250, 0.8750], [0.8750, 0.6250, 0.2500], [0.8750, 0.7500, 0.6250], [0.0156, 0.6784, 0.1010], [0.0156, 0.8373, 0.9146], [0.0773, 0.6627, 0.6784], [0.0773, 0.9146, 0.3990], [0.0854, 0.6010, 0.9227], [0.0854, 0.9844, 0.1627], [0.1010, 0.0156, 0.6784], [0.1010, 0.5854, 0.4227], [0.1627, 0.0854, 0.9844], [0.1627, 0.5773, 0.1784], [0.1784, 0.1627, 0.5773], [0.1784, 0.5156, 0.6010], [0.3216, 0.8990, 0.9844], [0.3216, 0.9227, 0.3373], [0.3373, 0.3216, 0.9227], [0.3373, 0.5156, 0.4146], [0.3990, 0.0773, 0.9146], [0.3990, 0.8216, 0.4844], [0.4146, 0.3373, 0.5156], [0.4146, 0.5773, 0.8990], [0.4227, 0.1010, 0.5854], [0.4227, 0.8216, 0.8373], [0.4844, 0.3990, 0.8216], [0.4844, 0.5854, 0.6627], [0.5156, 0.4146, 0.3373], [0.5156, 0.6010, 0.1784], [0.5773, 0.1784, 0.1627], [0.5773, 0.8990, 0.4146], [0.5854, 0.4227, 0.1010], [0.5854, 0.6627, 0.4844], [0.6010, 0.1784, 0.5156], [0.6010, 0.9227, 0.0854], [0.6627, 0.4844, 0.5854], [0.6627, 0.6784, 0.0773], [0.6784, 0.0773, 0.6627], [0.6784, 0.1010, 0.0156], [0.8216, 0.4844, 0.3990], [0.8216, 0.8373, 0.4227], [0.8373, 0.4227, 0.8216], [0.8373, 0.9146, 0.0156], [0.8990, 0.4146, 0.5773], [0.8990, 0.9844, 0.3216], [0.9146, 0.0156, 0.8373], [0.9146, 0.3990, 0.0773], [0.9227, 0.0854, 0.6010], [0.9227, 0.3373, 0.3216], [0.9844, 0.1627, 0.0854], [0.9844, 0.3216, 0.8990]]
}

***

{
  "formula": "SnHg2F6",
  "functional": "PBE",
  "state": "optimized geometry",
  "e_form_raw_kj_per_mol_fu": -1618,
  "dft_energy_ev_per_atom": -3.62,
  "polymorph_energy_ev_per_atom": 0.047,
  "cell": [[3.1702, 1.8303, 5.8443], [-3.1702, 1.8303, 5.8443], [0.0000, -3.6606, 5.8443]],
  "species": ["Sn", "Hg", "Hg", "F", "F", "F", "F", "F", "F"],
  "fractional_positions": [[0.0000, 0.0000, 0.0000], [0.6583, 0.6583, 0.6583], [0.8062, 0.8062, 0.8062], [0.1719, 0.7526, 0.2463], [0.2030, 0.7568, 0.8031], [0.2463, 0.1719, 0.7526], [0.7526, 0.2463, 0.1719], [0.7568, 0.8031, 0.2030], [0.8031, 0.2030, 0.7568]]
}

***

{
  "formula": "SnHgF2",
  "functional": "PBE",
  "state": "optimized geometry",
  "e_form_raw_kj_per_mol_fu": -488,
  "dft_energy_ev_per_atom": -3.28,
  "polymorph_energy_ev_per_atom": 0.299,
  "cell": [[0.0000, 3.2846, 3.2846], [3.2846, 0.0000, 3.2846], [3.2846, 3.2846, 0.0000]],
  "species": ["Sn", "Hg", "F", "F"],
  "fractional_positions": [[0.0000, 0.0000, 0.0000], [0.5000, 0.5000, 0.5000], [0.2500, 0.2500, 0.2500], [0.7500, 0.7500, 0.7500]]
}

***

{
  "formula": "SnHg6F12",
  "functional": "PBE",
  "state": "optimized geometry",
  "e_form_raw_kj_per_mol_fu": -2784,
  "dft_energy_ev_per_atom": -3.01,
  "cell": [[5.3915, 3.1128, 3.4309], [-5.3915, 3.1128, 3.4309], [0.0000, -6.2255, 3.4309]],
  "species": ["Sn", "Hg", "Hg", "Hg", "Hg", "Hg", "Hg", "F", "F", "F", "F", "F", "F", "F", "F", "F", "F", "F", "F"],
  "fractional_positions": [[0.0000, 0.0000, 0.0000], [0.1048, 0.5776, 0.3743], [0.3743, 0.1048, 0.5776], [0.4224, 0.6257, 0.8952], [0.5776, 0.3743, 0.1048], [0.6257, 0.8952, 0.4224], [0.8952, 0.4224, 0.6257], [0.0309, 0.7255, 0.9051], [0.0949, 0.9691, 0.2745], [0.2234, 0.3508, 0.6457], [0.2745, 0.0949, 0.9691], [0.3508, 0.6457, 0.2234], [0.3543, 0.7766, 0.6492], [0.6457, 0.2234, 0.3508], [0.6492, 0.3543, 0.7766], [0.7255, 0.9051, 0.0309], [0.7766, 0.6492, 0.3543], [0.9051, 0.0309, 0.7255], [0.9691, 0.2745, 0.0949]]
}

***

{
  "formula": "SnHgF2",
  "functional": "PBE",
  "state": "optimized geometry",
  "e_form_raw_kj_per_mol_fu": -604,
  "dft_energy_ev_per_atom": -3.58,
  "polymorph_energy_ev_per_atom": 0.000,
  "cell": [[1.9445, 1.1227, 8.8438], [-1.9445, 1.1227, 8.8438], [0.0000, -2.2453, 8.8438]],
  "species": ["Sn", "Hg", "F", "F"],
  "fractional_positions": [[0.0000, 0.0000, 0.0000], [0.5000, 0.5000, 0.5000], [0.3699, 0.3699, 0.3699], [0.6301, 0.6301, 0.6301]]
}

***

{
  "formula": "SnHgF",
  "functional": "PBE",
  "state": "optimized geometry",
  "e_form_raw_kj_per_mol_fu": -251,
  "dft_energy_ev_per_atom": -2.92,
  "polymorph_energy_ev_per_atom": 0.098,
  "cell": [[4.3430, 0.0000, 0.0000], [-2.1715, 3.7612, 0.0000], [0.0000, 0.0000, 4.1191]],
  "species": ["Sn", "Hg", "F"],
  "fractional_positions": [[0.0000, 0.0000, 0.0000], [0.3333, 0.6667, 0.5000], [0.6667, 0.3333, 0.0000]]
}

***

{
  "formula": "TlSnHg2F8",
  "functional": "PBE",
  "state": "optimized geometry",
  "e_form_raw_kj_per_mol_fu": -2108,
  "dft_energy_ev_per_atom": -3.65,
  "cell": [[5.0808, 0.0000, 0.0000], [-0.2952, 5.5497, 0.0000], [-0.0288, -0.0431, 7.8226]],
  "species": ["Tl", "Sn", "Hg", "Hg", "F", "F", "F", "F", "F", "F", "F", "F"],
  "fractional_positions": [[0.0000, 0.0000, 0.0000], [0.0000, 0.0000, 0.5000], [0.5004, 0.5004, 0.2456], [0.4996, 0.4996, 0.7544], [0.1528, 0.7941, 0.3155], [0.1556, 0.7961, 0.6836], [0.3180, 0.2435, 0.5000], [0.4596, 0.2593, 0.9996], [0.5404, 0.7407, 0.0004], [0.6820, 0.7565, 0.5000], [0.8444, 0.2039, 0.3164], [0.8472, 0.2059, 0.6845]]
}